[1]
Pr2MgSn2 | PBE | relaxed

E_form: -0.592 eV/atom
total magnetization: 0.00 μB per formula unit
VASP energy: -4.424 eV per atom

Geometry as CIF:
```
data_Pr2MgSn2
_cell_length_a 4.805
_cell_length_b 17.491
_cell_length_c 7.369
_cell_angle_alpha 90.00
_cell_angle_beta 90.00
_cell_angle_gamma 90.00
_space_group_name_H-M_alt 'C m c 21'
_space_group_IT_number 36
_space_group_name_Hall 'C 2c -2'
loop_
_atom_site_label
_atom_site_fract_x
_atom_site_fract_y
_atom_site_fract_z
Pr1 0.000 0.019 0.000
Pr2 0.000 0.201 0.322
Mg1 0.000 0.399 0.175
Sn1 0.000 0.178 0.776
Sn2 0.000 0.431 0.776
```

=====

[2]
Pr3Mg2Sn3 | PBE | relaxed

E_form: -0.503 eV/atom
total magnetization: 0.86 μB per formula unit
VASP energy: -4.195 eV per atom

Geometry as CIF:
```
data_Pr3Mg2Sn3
_cell_length_a 4.407
_cell_length_b 4.811
_cell_length_c 21.304
_cell_angle_alpha 90.00
_cell_angle_beta 90.00
_cell_angle_gamma 90.00
_space_group_name_H-M_alt 'I m m m'
_space_group_IT_number 71
_space_group_name_Hall '-I 2 2'
loop_
_atom_site_label
_atom_site_fract_x
_atom_site_fract_y
_atom_site_fract_z
Pr1 0.000 0.000 0.000
Pr2 0.000 0.500 0.125
Mg1 0.000 0.000 0.250
Sn1 0.000 0.000 0.500
Sn2 0.000 0.500 0.347
```